YAl2CdAu | Alexandria via LeMat-Bulk | PBE-GGA | optimized geometry; raw total energy = -3.643 eV/atom; calculated formation energy = -0.015 eV/atom
1.0
4.830 0.000 0.000
0.000 4.830 0.000
0.000 0.000 5.637
Y Al Cd Au
1 2 1 1
Cartesian
0.000 0.000 0.000 Y
0.000 2.415 2.819 Al
2.415 0.000 2.819 Al
2.415 2.415 0.000 Cd
0.000 0.000 2.819 Au